Entry 1:
Compound: Mn2TlInNi
Source: the Alexandria database
Functional: GGA-PBE
Structure: optimized geometry

a b c (Å): 5.108 4.782 5.108
angles (deg): 90.00 90.00 90.00
Each line ends with the local moment (μB).
Fractional coordinates of all 5 atoms:
1 Ni 0.000 0.500 0.000  0.41
2 Tl 0.500 0.500 0.500  0.01
3 Mn 0.000 0.000 0.500  4.16
4 Mn 0.500 0.000 0.000  3.90
5 In 0.000 0.000 0.000  -0.10

Values from the calculation:
Crystal system: tetragonal
E_form (kJ/mol of formula units): 488
Size of the total moment (μB per formula unit): 8.81
DFT total energy (eV per atom): -4.83

***

Entry 2:
Compound: NpMnIn
Source: the Alexandria database
Functional: GGA-PBE
Structure: optimized geometry

a b c (Å): 3.134 3.134 6.406
angles (deg): 104.16 104.16 90.00
Each line ends with the local moment (μB).
Fractional coordinates of all 3 atoms:
1 Np 0.308 0.308 0.616  3.75
2 Mn 0.671 0.671 0.342  -2.50
3 In 0.021 0.021 0.042  0.00

Values from the calculation:
Crystal system: tetragonal
E_form (kJ/mol of formula units): 48
Size of the total moment (μB per formula unit): 1.37
DFT total energy (eV per atom): -8.12